Entry 1:
Below is a geometry-optimized Li5CuP2O8 structure, with properties calculated at the GGA-PBE level.

Output
The uncorrected formation energy comes out at -2.175 eV per atom. For the energy above the most stable polymorph in this dataset, the calculation gives 1 meV per atom. As for the total energy: -6.184 eV/atom.

CIF file:
```
data_Li5CuP2O8
_space_group_name_H-M_alt 'P 1 m 1'
_space_group_IT_number 6
_space_group_name_Hall 'P -2y'
_cell_length_a 4.997
_cell_length_b 6.215
_cell_length_c 5.305
_cell_angle_alpha 90.00
_cell_angle_beta 90.33
_cell_angle_gamma 90.00
loop_
_atom_site_label
_atom_site_fract_x
_atom_site_fract_y
_atom_site_fract_z
_atom_site_occupancy
Li1 0.000 0.000 0.000 1
Li2 0.000 0.255 0.517 1
Li3 0.503 0.251 0.166 1
Cu1 0.498 0.500 0.649 1
P1 0.006 0.500 0.024 1
P2 0.508 0.000 0.669 1
O1 0.317 0.500 0.039 1
O2 0.397 0.201 0.524 1
O3 0.406 0.000 0.946 1
O4 0.819 0.000 0.662 1
O5 0.899 0.293 0.157 1
O6 0.917 0.500 0.741 1
```

Entry 2:
Below is a geometry-optimized LiCuP2O structure, with properties calculated at the GGA-PBE level.

Output
The uncorrected formation energy comes out at 0.570 eV per atom. For the energy above the most stable polymorph in this dataset, the calculation gives 231 meV per atom. As for the total energy: -3.788 eV/atom.

CIF file:
```
data_LiCuP2O
_space_group_name_H-M_alt 'P 4/m m m'
_space_group_IT_number 123
_space_group_name_Hall '-P 4 2'
_cell_length_a 4.583
_cell_length_b 4.583
_cell_length_c 3.212
_cell_angle_alpha 90.00
_cell_angle_beta 90.00
_cell_angle_gamma 90.00
loop_
_atom_site_label
_atom_site_fract_x
_atom_site_fract_y
_atom_site_fract_z
_atom_site_occupancy
Li1 0.000 0.000 0.000 1
Cu1 0.500 0.500 0.500 1
P1 0.000 0.500 0.000 1
O1 0.000 0.000 0.500 1
```